PuInNi4 | the Open Quantum Materials Database | GGA-PBE | optimized geometry; symmetry = F-43m (216)
1.0
0.000 3.530 3.530
3.530 0.000 3.530
3.530 3.530 0.000
In Ni Pu
1 4 1
Direct
0.000 0.000 0.000
0.626 0.626 0.123
0.626 0.123 0.626
0.123 0.626 0.626
0.626 0.626 0.626
0.250 0.250 0.250


Li8AgO6 | the Open Quantum Materials Database | GGA-PBE | optimized geometry; symmetry = R-3 (148)
1.0
5.974 -0.033 -0.022
3.501 4.841 -0.022
3.501 1.777 4.503
Ag Li O
1 8 6
Direct
0.000 0.000 0.000
0.774 0.478 0.101
0.522 0.899 0.226
0.343 0.343 0.343
0.101 0.774 0.478
0.899 0.226 0.522
0.657 0.657 0.657
0.478 0.101 0.774
0.226 0.522 0.899
0.395 0.757 0.095
0.905 0.605 0.243
0.757 0.095 0.395
0.243 0.905 0.605
0.095 0.395 0.757
0.605 0.243 0.905


Number 1: uncorrected energy -40.76 eV for the cell shown. Number 2: uncorrected energy -69.42 eV for the cell shown.